1.
Compound: HOsIO
Source: Alexandria
Functional: PBE
Structure: optimized geometry

CIF file:
```
data_HOsIO
_space_group_name_H-M_alt 'I m m 2'
_space_group_IT_number 44
_cell_length_a 2.895
_cell_length_b 3.698
_cell_length_c 14.722
_cell_angle_alpha 90.00
_cell_angle_beta 90.00
_cell_angle_gamma 90.00
loop_
_space_group_symop_operation_xyz
'x,y,z'
'-x,-y,z'
'-x,y,z'
'x,-y,z'
'x+1/2,y+1/2,z+1/2'
'-x+1/2,-y+1/2,z+1/2'
'-x+1/2,y+1/2,z+1/2'
'x+1/2,-y+1/2,z+1/2'
loop_
_atom_site_label
_atom_site_type_symbol
_atom_site_fract_x
_atom_site_fract_y
_atom_site_fract_z
H1 H 0.000 0.000 0.000
Os1 Os 0.000 0.000 0.891
I1 I 0.000 0.000 0.688
O1 O 0.000 0.500 0.890
```

The calculation puts the offset from the most stable computed form at 90 meV/atom. The calculation puts the magnetic moment at 0.000 μB/atom.



2.
Compound: CoPb2W
Source: Alexandria
Functional: PBE
Structure: optimized geometry

CIF file:
```
data_CoPb2W
_space_group_name_H-M_alt 'I m m m'
_space_group_IT_number 71
_space_group_name_Hall '-I 2 2'
_cell_length_a 3.186
_cell_length_b 5.436
_cell_length_c 8.992
_cell_angle_alpha 90.00
_cell_angle_beta 90.00
_cell_angle_gamma 90.00
loop_
_atom_site_label
_atom_site_type_symbol
_atom_site_fract_x
_atom_site_fract_y
_atom_site_fract_z
Co1 Co 0.000 0.000 0.000
Pb1 Pb 0.000 0.500 0.274
W1 W 0.000 0.000 0.500
```

The value obtained for the formation energy from the elements is 1.056 eV per atom. The calculation puts the offset from the most stable computed form at 641 meV/atom. The calculation puts the magnetic moment at 0.041 μB/atom.



3.
Compound: BeAl2Ir
Source: Alexandria
Functional: PBE
Structure: optimized geometry

CIF file:
```
data_BeAl2Ir
_space_group_name_H-M_alt 'P m n 21'
_space_group_IT_number 31
_cell_length_a 4.185
_cell_length_b 5.014
_cell_length_c 5.138
_cell_angle_alpha 90.00
_cell_angle_beta 90.00
_cell_angle_gamma 90.00
loop_
_space_group_symop_operation_xyz
'x,y,z'
'-x+1/2,-y,z+1/2'
'-x,y,z'
'x+1/2,-y,z+1/2'
loop_
_atom_site_label
_atom_site_type_symbol
_atom_site_fract_x
_atom_site_fract_y
_atom_site_fract_z
Be1 Be 0.000 0.171 0.000
Al1 Al 0.000 0.133 0.495
Al2 Al 0.000 0.597 0.739
Ir1 Ir 0.000 0.722 0.237
```

The value obtained for the formation energy from the elements is -0.521 eV per atom. The calculation puts the magnetic moment at 0.000 μB/atom.



4.
Compound: Si4PtBr
Source: Alexandria
Functional: PBE
Structure: optimized geometry

CIF file:
```
data_Si4PtBr
_space_group_name_H-M_alt 'F -4 3 m'
_space_group_IT_number 216
_space_group_name_Hall 'F -4 2 3'
_cell_length_a 7.445
_cell_length_b 7.445
_cell_length_c 7.445
_cell_angle_alpha 90.00
_cell_angle_beta 90.00
_cell_angle_gamma 90.00
loop_
_atom_site_label
_atom_site_type_symbol
_atom_site_fract_x
_atom_site_fract_y
_atom_site_fract_z
Si1 Si 0.125 0.125 0.125
Pt1 Pt 0.000 0.000 0.500
Br1 Br 0.250 0.250 0.750
```

The uncorrected formation energy comes out at 0.674 eV per atom. The calculation puts the magnetic moment at 0.000 μB/atom.



5.
Compound: HgSeCl
Source: Alexandria
Functional: PBE
Structure: optimized geometry

CIF file:
```
data_HgSeCl
_space_group_name_H-M_alt 'F m m 2'
_space_group_IT_number 42
_space_group_name_Hall 'F 2 -2'
_cell_length_a 3.903
_cell_length_b 6.955
_cell_length_c 12.177
_cell_angle_alpha 90.00
_cell_angle_beta 90.00
_cell_angle_gamma 90.00
loop_
_atom_site_label
_atom_site_type_symbol
_atom_site_fract_x
_atom_site_fract_y
_atom_site_fract_z
Hg1 Hg 0.000 0.000 0.000
Se1 Se 0.000 0.000 0.357
Cl1 Cl 0.000 0.000 0.650
```

The uncorrected formation energy comes out at 0.006 eV per atom. The calculation puts the offset from the most stable computed form at 368 meV/atom. The calculation puts the magnetic moment at 0.000 μB/atom.



6.
Compound: Zr5ScTl6
Source: Alexandria
Functional: PBE
Structure: optimized geometry

CIF file:
```
data_Zr5ScTl6
_space_group_name_H-M_alt 'I m m m'
_space_group_IT_number 71
_space_group_name_Hall '-I 2 2'
_cell_length_a 5.389
_cell_length_b 6.364
_cell_length_c 16.186
_cell_angle_alpha 90.00
_cell_angle_beta 90.00
_cell_angle_gamma 90.00
loop_
_atom_site_label
_atom_site_type_symbol
_atom_site_fract_x
_atom_site_fract_y
_atom_site_fract_z
Zr1 Zr 0.000 0.000 0.000
Zr2 Zr 0.000 0.000 0.333
Zr3 Zr 0.000 0.500 0.334
Sc1 Sc 0.000 0.500 0.000
Tl1 Tl 0.000 0.249 0.500
Tl2 Tl 0.000 0.251 0.166
```

The value obtained for the formation energy from the elements is -0.021 eV per atom. The calculation puts the magnetic moment at 0.000 μB/atom.